No. 1
{
  "formula": "MoAs5",
  "functional": "PBE",
  "state": "relaxed",
  "lattice": [[4.9875, -1.6943, 0.0000], [4.9875, 1.6943, 0.0000], [-1.2068, 0.0000, 7.8906]],
  "species": ["Mo", "As", "As", "As", "As", "As"],
  "fractional_positions": [[0.0000, 0.0000, 0.0000], [0.0094, 0.0094, 0.6685], [0.3534, 0.3534, 0.7399], [0.4227, 0.4227, 0.2144], [0.6621, 0.6621, 0.2839], [0.6982, 0.6982, 0.9845]],
  "magnetic_moment_mub_per_atom": 0.00,
  "total_energy_ev_per_atom": -5.62,
  "relative_energy_ev_per_atom": 0.000
}

No. 2
{
  "formula": "Mo3As",
  "functional": "PBE",
  "state": "relaxed",
  "lattice": [[3.9637, 0.0000, 0.0000], [0.0000, 3.9637, 0.0000], [0.0000, 0.0000, 3.9637]],
  "species": ["Mo", "Mo", "Mo", "As"],
  "fractional_positions": [[0.0000, 0.0000, 0.5000], [0.0000, 0.5000, 0.0000], [0.5000, 0.0000, 0.0000], [0.5000, 0.5000, 0.5000]],
  "magnetic_moment_mub_per_atom": 0.00,
  "total_energy_ev_per_atom": -8.99,
  "relative_energy_ev_per_atom": 0.302
}

No. 3
{
  "formula": "MoAs7",
  "functional": "PBE",
  "state": "relaxed",
  "lattice": [[0.0000, 4.2033, 4.2033], [4.2033, 0.0000, 4.2033], [4.2033, 4.2033, 0.0000]],
  "species": ["Mo", "As", "As", "As", "As", "As", "As", "As"],
  "fractional_positions": [[0.0000, 0.0000, 0.0000], [0.0000, 0.0000, 0.5000], [0.0000, 0.5000, 0.0000], [0.0000, 0.5000, 0.5000], [0.5000, 0.0000, 0.0000], [0.5000, 0.0000, 0.5000], [0.5000, 0.5000, 0.0000], [0.5000, 0.5000, 0.5000]],
  "magnetic_moment_mub_per_atom": 0.21,
  "total_energy_ev_per_atom": -4.88
}

No. 4
{
  "formula": "Mo4As3",
  "functional": "PBE",
  "state": "relaxed",
  "lattice": [[-1.6044, 1.6044, 10.7080], [1.6044, -1.6044, 10.7080], [1.6044, 1.6044, -10.7080]],
  "species": ["Mo", "Mo", "Mo", "Mo", "As", "As", "As"],
  "fractional_positions": [[0.0691, 0.0691, 0.0000], [0.3465, 0.3465, 0.0000], [0.6535, 0.6535, 0.0000], [0.9309, 0.9309, 0.0000], [0.2062, 0.2062, 0.0000], [0.5000, 0.5000, 0.0000], [0.7938, 0.7938, 0.0000]],
  "magnetic_moment_mub_per_atom": 0.00,
  "total_energy_ev_per_atom": -8.22,
  "relative_energy_ev_per_atom": 0.000
}

No. 5
{
  "formula": "MoAs3",
  "functional": "PBE",
  "state": "relaxed",
  "lattice": [[4.1700, 0.0000, 0.0000], [0.0000, 4.1700, 0.0000], [0.0000, 0.0000, 4.1700]],
  "species": ["Mo", "As", "As", "As"],
  "fractional_positions": [[0.0000, 0.0000, 0.0000], [0.0000, 0.5000, 0.5000], [0.5000, 0.0000, 0.5000], [0.5000, 0.5000, 0.0000]],
  "magnetic_moment_mub_per_atom": 0.50,
  "total_energy_ev_per_atom": -5.60,
  "relative_energy_ev_per_atom": 0.612
}

No. 6
{
  "formula": "Mo5As4",
  "functional": "PBE",
  "state": "relaxed",
  "lattice": [[-4.7434, 4.7434, 1.5837], [4.7434, -4.7434, 1.5837], [4.7434, 4.7434, -1.5837]],
  "species": ["Mo", "Mo", "Mo", "Mo", "Mo", "As", "As", "As", "As"],
  "fractional_positions": [[0.0000, 0.0000, 0.0000], [0.0511, 0.6580, 0.7091], [0.3420, 0.0511, 0.3930], [0.6580, 0.9489, 0.6070], [0.9489, 0.3420, 0.2909], [0.3255, 0.6418, 0.9673], [0.3582, 0.3255, 0.6838], [0.6418, 0.6745, 0.3162], [0.6745, 0.3582, 0.0327]],
  "magnetic_moment_mub_per_atom": 0.00,
  "total_energy_ev_per_atom": -8.18,
  "relative_energy_ev_per_atom": 0.201
}

No. 7
{
  "formula": "Mo3As",
  "functional": "PBE",
  "state": "relaxed",
  "lattice": [[4.4151, 2.5491, 0.9333], [-4.4151, 2.5491, 0.9333], [0.0000, -5.0981, 0.9333]],
  "species": ["Mo", "Mo", "Mo", "As"],
  "fractional_positions": [[0.0000, 0.5000, 0.5000], [0.5000, 0.0000, 0.5000], [0.5000, 0.5000, 0.0000], [0.0000, 0.0000, 0.0000]],
  "magnetic_moment_mub_per_atom": 0.00,
  "total_energy_ev_per_atom": -9.06,
  "relative_energy_ev_per_atom": 0.229
}

No. 8
{
  "formula": "MoAs5",
  "functional": "PBE",
  "state": "relaxed",
  "lattice": [[2.4050, -7.3160, 0.0000], [2.4050, 7.3160, 0.0000], [0.0000, 0.0000, 3.2603]],
  "species": ["Mo", "As", "As", "As", "As", "As"],
  "fractional_positions": [[0.0000, 0.0000, 0.0000], [0.1433, 0.8567, 0.5000], [0.3564, 0.6436, 0.0000], [0.5000, 0.5000, 0.5000], [0.6436, 0.3564, 0.0000], [0.8567, 0.1433, 0.5000]],
  "magnetic_moment_mub_per_atom": 0.00,
  "total_energy_ev_per_atom": -5.39,
  "relative_energy_ev_per_atom": 0.226
}

No. 9
{
  "formula": "Mo5As",
  "functional": "PBE",
  "state": "relaxed",
  "lattice": [[5.0344, 0.0000, 0.0000], [-2.5172, 4.3599, 0.0000], [0.0000, 0.0000, 4.8246]],
  "species": ["Mo", "Mo", "Mo", "Mo", "Mo", "As"],
  "fractional_positions": [[0.0000, 0.5000, 0.0000], [0.3333, 0.6667, 0.5000], [0.5000, 0.0000, 0.0000], [0.5000, 0.5000, 0.0000], [0.6667, 0.3333, 0.5000], [0.0000, 0.0000, 0.5000]],
  "magnetic_moment_mub_per_atom": 0.00,
  "total_energy_ev_per_atom": -9.19,
  "relative_energy_ev_per_atom": 0.605
}

No. 10
{
  "formula": "Mo3As",
  "functional": "PBE",
  "state": "relaxed",
  "lattice": [[3.0640, 0.0000, 0.0000], [-1.5320, 2.6535, 0.0000], [0.0000, 0.0000, 7.9124]],
  "species": ["Mo", "Mo", "Mo", "As"],
  "fractional_positions": [[0.0000, 0.0000, 0.0000], [0.6667, 0.3333, 0.2629], [0.6667, 0.3333, 0.7371], [0.0000, 0.0000, 0.5000]],
  "magnetic_moment_mub_per_atom": 0.00,
  "total_energy_ev_per_atom": -9.15,
  "relative_energy_ev_per_atom": 0.148
}

No. 11
{
  "formula": "MoAs3",
  "functional": "PBE",
  "state": "relaxed",
  "lattice": [[3.5745, 0.0000, 0.0000], [0.0000, 3.5745, 0.0000], [0.0000, 0.0000, 6.7538]],
  "species": ["Mo", "As", "As", "As"],
  "fractional_positions": [[0.0000, 0.0000, 0.0000], [0.0000, 0.5000, 0.7024], [0.5000, 0.0000, 0.7024], [0.5000, 0.5000, 0.1645]],
  "magnetic_moment_mub_per_atom": 0.00,
  "total_energy_ev_per_atom": -5.99,
  "relative_energy_ev_per_atom": 0.222
}

No. 12
{
  "formula": "Mo3As2",
  "functional": "PBE",
  "state": "relaxed",
  "lattice": [[1.5062, 0.8696, 10.1328], [-1.5062, 0.8696, 10.1328], [0.0000, -1.7392, 10.1328]],
  "species": ["Mo", "Mo", "Mo", "As", "As"],
  "fractional_positions": [[0.0000, 0.0000, 0.0000], [0.2019, 0.2019, 0.2019], [0.7981, 0.7981, 0.7981], [0.3991, 0.3991, 0.3991], [0.6009, 0.6009, 0.6009]],
  "magnetic_moment_mub_per_atom": 0.00,
  "total_energy_ev_per_atom": -8.17,
  "relative_energy_ev_per_atom": 0.131
}

Calculated DFT formation energy (eV/atom), listed in the same order as above: 0.062 0.294 0.538 -0.043 0.593 -0.098 0.221 0.288 0.613 0.140 0.202 0.187
Calculated calculated volume (Å³ per atom), listed in the same order as above: 22.2 15.6 18.6 15.8 18.1 15.8 15.8 19.1 17.6 16.1 21.6 15.9